# 1
DFT (PBE) results for a relaxed Be2NbGa crystal.

Properties
energy of formation	-243	meV per atom

a b c (Å): 3.749 3.749 3.588
angles (deg): 90.00 90.00 90.00
Space group P4/mmm (No. 123)
Inequivalent atoms, fractional coordinates:
Be  0.000  0.500  0.000 (multiplicity 2)
Nb  0.000  0.000  0.500 (multiplicity 1)
Ga  0.500  0.500  0.500 (multiplicity 1)

=====

# 2
DFT (PBE) results for a relaxed TbPa2Se6 crystal.

Properties
E_form (uncorrected)	-1.478	eV per atom
ΔE to the lowest computed polymorph	0	meV/atom

a b c (Å): 18.136 4.187 8.454
angles (deg): 90.00 103.76 90.00
Space group C2/m (No. 12)
Inequivalent atoms, fractional coordinates:
Tb  0.000  0.000  0.000 (multiplicity 2)
Pa  0.165  0.500  0.326 (multiplicity 4)
Se  0.009  0.500  0.239 (multiplicity 4)
Se  0.165  0.000  0.102 (multiplicity 4)
Se  0.173  0.000  0.560 (multiplicity 4)

=====

# 3
DFT (PBE) results for a relaxed NaMg2HAu crystal.

Properties
ΔE to the lowest computed polymorph	0	meV/atom

a b c (Å): 4.409 4.409 4.200
angles (deg): 90.00 90.00 90.00
Space group P4/mmm (No. 123)
Inequivalent atoms, fractional coordinates:
Na  0.000  0.000  0.000 (multiplicity 1)
Mg  0.000  0.500  0.500 (multiplicity 2)
H  0.000  0.000  0.500 (multiplicity 1)
Au  0.500  0.500  0.000 (multiplicity 1)